# 1
KNa2LiGe: relaxed, PBE.

## Properties
energy above the most stable polymorph in this dataset: 0.107 eV per atom
energy of formation from the pure elements: 29 kJ/mol of formula units

abc: 5.597 5.597 4.869
angles: 90.00 90.00 90.00
Space group P4/mmm (No. 123)
Unique sites:
K  0.000  0.000  0.000 (multiplicity 1)
Na  0.000  0.500  0.500 (multiplicity 2)
Li  0.500  0.500  0.500 (multiplicity 1)
Ge  0.500  0.500  0.000 (multiplicity 1)

---

# 2
KZr3Bi: relaxed, PBE.

## Properties
energy above the most stable polymorph in this dataset: 0.000 eV per atom
energy of formation from the pure elements: 518 kJ/mol of formula units

abc: 5.597 5.597 5.597
angles: 90.00 90.00 90.00
Space group Pm-3m (No. 221)
Unique sites:
K  0.000  0.000  0.000 (multiplicity 1)
Zr  0.000  0.500  0.500 (multiplicity 3)
Bi  0.500  0.500  0.500 (multiplicity 1)

---

# 3
LiNd4Sm3Se8: relaxed, PBE.

## Properties
uncorrected formation energy: -1.796 eV per atom

abc: 8.3610 8.3610 20.5302
angles: 90.00 90.00 120.00
Space group R-3m (No. 166, hexagonal axes)
Unique sites:
Li  0.0000  0.0000  0.0000 (multiplicity 3)
Nd  0.0000  0.0000  0.5000 (multiplicity 3)
Nd  0.0000  0.5000  0.5000 (multiplicity 9)
Sm  0.0000  0.5000  0.0000 (multiplicity 9)
Se  0.0000  0.0000  0.2517 (multiplicity 6)
Se  0.0084  0.5042  0.7462 (multiplicity 18)

---

# 4
CaAcSi: relaxed, PBE.

## Properties
uncorrected formation energy: -0.373 eV per atom
energy above the most stable polymorph in this dataset: 0.027 eV per atom

abc: 7.379 7.379 7.379
angles: 90.00 90.00 90.00
Space group F-43m (No. 216)
Unique sites:
Ca  0.000  0.000  0.000 (multiplicity 4)
Ac  0.000  0.000  0.500 (multiplicity 4)
Si  0.250  0.250  0.750 (multiplicity 4)

---

# 5
Mg2MnBr: relaxed, PBE.

## Properties
uncorrected formation energy: 0.168 eV per atom
energy above the most stable polymorph in this dataset: 0.291 eV per atom

abc: 4.113 4.113 10.623
angles: 90.00 90.00 90.00
Space group I-4m2 (No. 119)
Unique sites:
Mg  0.000  0.000  0.000 (multiplicity 2)
Mg  0.000  0.500  0.250 (multiplicity 2)
Mn  0.000  0.500  0.750 (multiplicity 2)
Br  0.000  0.000  0.500 (multiplicity 2)

---

# 6
LiZn2Ag: relaxed, PBE.

## Properties
energy of formation from the pure elements: -43 kJ/mol of formula units

abc: 5.326 8.431 2.779
angles: 90.00 90.00 90.00
Space group Cmmm (No. 65)
Unique sites:
Li  0.000  0.000  0.000 (multiplicity 2)
Zn  0.250  0.250  0.500 (multiplicity 4)
Ag  0.000  0.500  0.000 (multiplicity 2)

---

# 7
Ba2LiCuCl6: relaxed, PBE.

## Properties
uncorrected formation energy: -1.903 eV per atom

abc: 6.464 7.297 7.528
angles: 61.94 84.67 64.74
Space group P-1 (No. 2)
Unique sites:
Ba  0.180  0.070  0.203 (multiplicity 2)
Li  0.000  0.500  0.500 (multiplicity 1)
Cu  0.500  0.500  0.000 (multiplicity 1)
Cl  0.200  0.663  0.600 (multiplicity 2)
Cl  0.213  0.509  0.168 (multiplicity 2)
Cl  0.283  0.049  0.795 (multiplicity 2)

---

# 8
Ga2CoRhSe: relaxed, PBE.

## Properties
uncorrected formation energy: 0.880 eV per atom

abc: 4.900 4.900 4.212
angles: 90.00 90.00 90.00
Space group P4/mmm (No. 123)
Unique sites:
Ga  0.000  0.500  0.000 (multiplicity 2)
Co  0.000  0.000  0.500 (multiplicity 1)
Rh  0.500  0.500  0.500 (multiplicity 1)
Se  0.000  0.000  0.000 (multiplicity 1)

---

# 9
Ce3Ag2Au4: relaxed, PBE.

## Properties
energy of formation from the pure elements: -457 kJ/mol of formula units

abc: 10.720 4.851 9.047
angles: 90.00 120.70 90.00
Space group C2/m (No. 12)
Unique sites:
Ce  0.000  0.000  0.000 (multiplicity 2)
Ce  0.161  0.500  0.673 (multiplicity 4)
Ag  0.121  0.500  0.287 (multiplicity 4)
Au  0.063  0.000  0.394 (multiplicity 4)
Au  0.219  0.500  0.056 (multiplicity 4)

---

# 10
ZrZnC: relaxed, PBE.

## Properties
energy of formation from the pure elements: -50 kJ/mol of formula units

abc: 3.9387 3.9387 21.3919
angles: 90.00 90.00 120.00
Space group R-3m (No. 166, hexagonal axes)
Unique sites:
Zr  0.0000  0.0000  0.1125 (multiplicity 6)
Zn  0.0000  0.0000  0.3114 (multiplicity 6)
C  0.0000  0.0000  0.2150 (multiplicity 6)

---

# 11
LiSc2Br: relaxed, PBE.

## Properties
uncorrected formation energy: -0.171 eV per atom
energy above the most stable polymorph in this dataset: 0.252 eV per atom

abc: 3.643 3.643 6.161
angles: 90.00 90.00 90.00
Space group P4/mmm (No. 123)
Unique sites:
Li  0.000  0.000  0.000 (multiplicity 1)
Sc  0.500  0.500  0.238 (multiplicity 2)
Br  0.000  0.000  0.500 (multiplicity 1)

---

# 12
Tb2PmSm7: relaxed, PBE.

## Properties
energy above the most stable polymorph in this dataset: 0.000 eV per atom
energy of formation from the pure elements: 45 kJ/mol of formula units

abc: 5.564 7.087 17.003
angles: 90.00 90.00 90.00
Space group Immm (No. 71)
Unique sites:
Tb  0.000  0.000  0.199 (multiplicity 4)
Pm  0.000  0.500  0.000 (multiplicity 2)
Sm  0.000  0.000  0.000 (multiplicity 2)
Sm  0.000  0.251  0.392 (multiplicity 8)
Sm  0.000  0.500  0.199 (multiplicity 4)

---

# 13
AsPCI: relaxed, PBE.

## Properties
uncorrected formation energy: 0.401 eV per atom
energy above the most stable polymorph in this dataset: 0.000 eV per atom

abc: 2.920 4.731 7.820
angles: 87.58 79.38 72.06
Space group P1 (No. 1)
Unique sites:
As  0.000  0.000  0.000 (multiplicity 1)
P  0.124  0.547  0.208 (multiplicity 1)
C  0.754  0.357  0.137 (multiplicity 1)
I  0.036  0.308  0.623 (multiplicity 1)

---

# 14
SrPm2Tm: relaxed, PBE.

## Properties
energy above the most stable polymorph in this dataset: 0.089 eV per atom
energy of formation from the pure elements: 76 kJ/mol of formula units

abc: 3.6400 3.6400 38.9861
angles: 90.00 90.00 120.00
Space group R-3m (No. 166, hexagonal axes)
Unique sites:
Sr  0.0000  0.0000  0.0000 (multiplicity 3)
Pm  0.0000  0.0000  0.0940 (multiplicity 6)
Tm  0.0000  0.0000  0.5000 (multiplicity 3)

---

# 15
RbPtN2: relaxed, PBE.

## Properties
uncorrected formation energy: 0.656 eV per atom
energy above the most stable polymorph in this dataset: 0.000 eV per atom

abc: 6.313 6.313 7.221
angles: 90.00 90.00 90.00
Space group I-42d (No. 122)
Unique sites:
Rb  0.000  0.000  0.000 (multiplicity 4)
Pt  0.000  0.000  0.500 (multiplicity 4)
N  0.118  0.250  0.625 (multiplicity 8)

---

# 16
Sr2Ca6CdIr: relaxed, PBE.

## Properties
energy of formation from the pure elements: -140 kJ/mol of formula units

abc: 11.768 11.768 11.768
angles: 90.00 90.00 90.00
Space group Fm-3m (No. 225)
Unique sites:
Sr  0.250  0.250  0.250 (multiplicity 8)
Ca  0.000  0.000  0.235 (multiplicity 24)
Cd  0.000  0.000  0.500 (multiplicity 4)
Ir  0.000  0.000  0.000 (multiplicity 4)